No. 1
Here is an optimized crystal structure of PuAl3Ga from Alexandria. Energies are from PBE-GGA.

abc: 4.199 4.200 6.284
angles: 70.54 70.53 90.01
Atoms (fractional coordinates):
Pu (0.403, 0.206, 0.900)
Al (0.650, 0.955, 0.404)
Al (0.151, 0.454, 0.404)
Al (0.792, 0.595, 0.122)
Ga (0.012, 0.816, 0.681)

The energy of formation is -0.246 eV/atom. Its crystal system is tetragonal. The energy above the most stable polymorph in this dataset is 0 meV per atom. For the magnetic moment, the calculation gives 5.881 μB per formula unit.

=====

No. 2
Here is an optimized crystal structure of Pu2Al6Ga from Alexandria. Energies are from PBE-GGA.

abc: 5.802 5.802 5.984
angles: 90.00 90.00 60.00
Atoms (fractional coordinates):
Pu (0.667, 0.667, 0.123)
Pu (0.333, 0.333, 0.877)
Al (0.823, 0.823, 0.666)
Al (0.353, 0.823, 0.666)
Al (0.823, 0.353, 0.666)
Al (0.177, 0.177, 0.334)
Al (0.647, 0.177, 0.334)
Al (0.177, 0.647, 0.334)
Ga (0.000, 0.000, 0.000)

The energy of formation is -0.222 eV/atom. Its crystal system is trigonal. For the magnetic moment, the calculation gives 11.360 μB per formula unit.

=====

No. 3
Here is an optimized crystal structure of Pu4AlGa from Alexandria. Energies are from PBE-GGA.

abc: 7.110 7.107 5.693
angles: 90.00 90.00 98.82
Atoms (fractional coordinates):
Pu (0.677, 0.677, 0.250)
Pu (0.322, 0.836, 0.500)
Pu (0.678, 0.164, 0.500)
Pu (0.677, 0.677, 0.750)
Pu (0.323, 0.323, 0.250)
Pu (0.164, 0.678, 0.000)
Pu (0.836, 0.322, 0.000)
Pu (0.323, 0.323, 0.750)
Al (0.000, 0.000, 0.750)
Al (0.000, 0.000, 0.250)
Ga (0.000, 0.500, 0.500)
Ga (0.500, 0.000, 0.000)

The energy of formation is 0.074 eV/atom. Its crystal system is orthorhombic. For the magnetic moment, the calculation gives 22.609 μB per formula unit.

=====

No. 4
Here is an optimized crystal structure of PuAl3Ga2 from Alexandria. Energies are from PBE-GGA.

abc: 4.288 8.060 8.060
angles: 62.10 74.57 74.57
Atoms (fractional coordinates):
Pu (0.867, 0.133, 0.133)
Pu (0.133, 0.867, 0.867)
Al (0.315, 0.462, 0.907)
Al (0.000, 0.338, 0.662)
Al (0.685, 0.093, 0.538)
Al (0.315, 0.907, 0.462)
Al (0.000, 0.662, 0.338)
Al (0.685, 0.538, 0.093)
Ga (0.500, 0.159, 0.841)
Ga (0.500, 0.841, 0.159)
Ga (0.809, 0.691, 0.691)
Ga (0.191, 0.309, 0.309)

The energy of formation is -0.175 eV/atom. Its crystal system is orthorhombic. The energy above the most stable polymorph in this dataset is 0 meV per atom. For the magnetic moment, the calculation gives 5.817 μB per formula unit.

=====

No. 5
Here is an optimized crystal structure of Pu3Al4Ga2 from Alexandria. Energies are from PBE-GGA.

abc: 4.612 5.700 8.671
angles: 114.89 90.00 113.86
Atoms (fractional coordinates):
Pu (0.667, 0.334, 0.665)
Pu (0.000, 0.000, 0.000)
Pu (0.333, 0.666, 0.335)
Al (0.730, 0.460, 0.064)
Al (0.270, 0.540, 0.936)
Al (0.952, 0.904, 0.619)
Al (0.048, 0.096, 0.381)
Ga (0.612, 0.224, 0.278)
Ga (0.388, 0.776, 0.722)

The energy of formation is -0.319 eV/atom. Its crystal system is monoclinic. For the magnetic moment, the calculation gives 17.319 μB per formula unit.

=====

No. 6
Here is an optimized crystal structure of Pu2AlGa from Alexandria. Energies are from PBE-GGA.

abc: 3.934 3.934 5.671
angles: 90.00 90.00 90.00
Atoms (fractional coordinates):
Al (0.500, 0.500, 0.500)
Ga (0.500, 0.500, 0.000)
Pu (0.000, 0.000, 0.752)
Pu (0.000, 0.000, 0.248)

The energy of formation is -0.194 eV/atom. Its crystal system is tetragonal. For the magnetic moment, the calculation gives 10.772 μB per formula unit.

=====

No. 7
Here is an optimized crystal structure of Pu4AlGa3 from Alexandria. Energies are from PBE-GGA.

abc: 2.914 5.525 11.057
angles: 90.00 90.00 90.00
Atoms (fractional coordinates):
Al (0.500, 0.500, 0.000)
Ga (0.500, 0.000, 0.248)
Ga (0.500, 0.500, 0.500)
Ga (0.500, 0.000, 0.752)
Pu (0.000, 0.000, 0.500)
Pu (0.000, 0.500, 0.748)
Pu (0.000, 0.000, 0.000)
Pu (0.000, 0.500, 0.252)

The energy of formation is -0.225 eV/atom. Its crystal system is orthorhombic. For the magnetic moment, the calculation gives 11.120 μB per formula unit.

=====

No. 8
Here is an optimized crystal structure of Pu2AlGa from Alexandria. Energies are from PBE-GGA.

abc: 3.618 3.618 5.611
angles: 108.61 108.61 90.58
Atoms (fractional coordinates):
Pu (0.250, 0.750, 0.500)
Pu (0.750, 0.250, 0.500)
Al (0.500, 0.500, 0.000)
Ga (0.000, 0.000, 0.000)

The energy of formation is 0.102 eV/atom. Its crystal system is orthorhombic. For the magnetic moment, the calculation gives 0.044 μB per formula unit.